The following is a DFT calculation (PBE) of IrPb2Se after structural relaxation.

Properties
Calculated volume = 24.85 Å³/atom
Crystal system = monoclinic
Raw formation energy = 0.158 eV/atom
ρ = 11.45 g/cm3
Final energy = -4.78 eV per atom

a b c (Å): 4.010 4.010 7.511
angles (deg): 74.39 74.39 59.95
Atoms (fractional coordinates):
Ir (0.250, 0.250, 0.250)
Pb (0.990, 0.990, 0.032)
Pb (0.510, 0.510, 0.468)
Se (0.750, 0.750, 0.750)